1.
Computed, not measured: a relaxed structure of Ca2Os at the PBE-GGA level of DFT.

abc: 8.035 8.035 4.296
angles: 90.00 90.00 45.28
Element x y z (fractional)
Ca1 0.113 0.616 0.750
Ca2 0.384 0.887 0.750
Ca3 0.616 0.113 0.250
Ca4 0.887 0.384 0.250
Os1 0.414 0.586 0.250
Os2 0.586 0.414 0.750

Summary:
DOS(E_F) = 0.98 states/eV per atom
DFT formation energy = 0.21 eV per atom
calculated total energy = -4.87 eV/atom

***

2.
Computed, not measured: a relaxed structure of SmDyPd4 at the PBE-GGA level of DFT.

abc: 5.470 5.470 5.470
angles: 60.00 60.00 60.00
Element x y z (fractional)
Sm1 0.000 0.000 0.000
Dy1 0.750 0.750 0.750
Pd1 0.375 0.375 0.375
Pd2 0.375 0.375 0.874
Pd3 0.375 0.874 0.375
Pd4 0.874 0.375 0.375

Summary:
DOS(E_F) = 0.38 states/eV per atom
DFT formation energy = -0.80 eV per atom
calculated total energy = -5.81 eV/atom